Below is CdCoGeO4 after structural relaxation, with properties calculated at the GGA+U level.

The energy above the lowest structure with this stoichiometry is 0.000 eV per atom. The total energy comes out at -159.22 eV per cell.

The structure belongs to space group P4_122 (No. 91); the cell edges are 6.123, 6.123 and 8.587 Å and the angles 90.00°, 90.00° and 90.00°. The inequivalent atoms are Cd at (0.239, 0.239, 0.375), Co at (0.000, 0.260, 0.000), Ge at (0.258, 0.500, 0.750), O at (0.056, 0.269, 0.755) and O at (0.273, 0.481, 0.975).